Below is Li2TbCuAs2 after structural relaxation, with properties calculated at the PBE level.

magnetic moment: 0.00 μB per cell
raw total energy: -4.335 eV/atom

a = 4.2018 Å, b = 4.2018 Å, c = 6.6058 Å
α = 90.00°, β = 90.00°, γ = 120.00°
Closest atoms and distances in Å follow each position.
Element x y z (fractional)
Li (0.3333, 0.6667, 0.3552)  4 As 2.51-2.58, 3 Cu 2.61
Li (0.6667, 0.3333, 0.6448)  4 As 2.51-2.58, 3 Cu 2.61
Tb (0.0000, 0.0000, 0.0000)  6 As 2.95, 2 Cu 3.30
Cu (0.0000, 0.0000, 0.5000)  6 Li 2.61, 6 As 2.92
As (0.3333, 0.6667, 0.7450)  4 Li 2.51-2.58
As (0.6667, 0.3333, 0.2550)  4 Li 2.51-2.58

---

Below is Rb2Cu2SeS after structural relaxation, with properties calculated at the PBE level.

raw total energy: -3.565 eV/atom

a = 5.0540 Å, b = 7.8255 Å, c = 7.8255 Å
α = 37.75°, β = 90.00°, γ = 90.00°
Closest atoms and distances in Å follow each position.
Element x y z (fractional)
Rb (0.0000, 0.0000, 0.0000)  1 S 3.35, 4 Se 3.60, 4 Cu 3.65
Rb (0.5000, 0.2970, 0.2970)  1 Se 3.40, 4 Cu 3.52, 4 S 3.59
Cu (0.2488, 0.6554, 0.6554)  1 S 2.16, 1 Se 2.29
Cu (0.7512, 0.6554, 0.6554)  1 S 2.16, 1 Se 2.29
Se (0.5000, 0.5268, 0.5268)  2 Cu 2.29
S (0.0000, 0.7740, 0.7740)  2 Cu 2.16

---

Below is NbReSi after structural relaxation, with properties calculated at the PBE level.

magnetic moment: 0.00 μB per cell
raw total energy: -9.471 eV/atom

a = 7.1476 Å, b = 7.1476 Å, c = 3.0644 Å
α = 90.00°, β = 90.00°, γ = 120.00°
Closest atoms and distances in Å follow each position.
Element x y z (fractional)
Nb (0.0000, 0.2772, 0.0000)  4 Si 2.50-2.61
Nb (0.2772, 0.0000, 0.0000)  4 Si 2.50-2.61
Nb (0.7228, 0.7228, 0.0000)  4 Si 2.50-2.61
Re (0.0000, 0.6103, 0.5000)  5 Si 2.69-2.79, 6 Nb 2.83-2.92
Re (0.3897, 0.3897, 0.5000)  5 Si 2.69-2.79, 6 Nb 2.83-2.92
Re (0.6103, 0.0000, 0.5000)  5 Si 2.69-2.79, 6 Nb 2.83-2.92
Si (0.0000, 0.0000, 0.5000)  6 Nb 2.50, 3 Re 2.79
Si (0.3333, 0.6667, 0.0000)  3 Nb 2.61, 6 Re 2.69
Si (0.6667, 0.3333, 0.0000)  3 Nb 2.61, 6 Re 2.69

---

Below is Zr2Bi after structural relaxation, with properties calculated at the PBE level.

magnetic moment: 0.00 μB per cell
raw total energy: -7.189 eV/atom

a = 5.4795 Å, b = 9.8718 Å, c = 5.3367 Å
α = 90.00°, β = 90.00°, γ = 90.00°
Closest atoms and distances in Å follow each position.
Element x y z (fractional)
Zr (0.2500, 0.0788, 0.0805)  4 Bi 3.06-3.26, 8 Zr 3.15-3.38
Zr (0.2500, 0.2500, 0.5778)  6 Zr 3.15-3.34, 6 Bi 3.25-3.33
Zr (0.2500, 0.4212, 0.0805)  4 Bi 3.06-3.26, 8 Zr 3.15-3.38
Zr (0.2500, 0.7500, 0.0656)  4 Bi 3.06-3.25, 8 Zr 3.25-3.34
Zr (0.7500, 0.2500, 0.9344)  4 Bi 3.06-3.25, 8 Zr 3.25-3.34
Zr (0.7500, 0.5788, 0.9195)  4 Bi 3.06-3.26, 8 Zr 3.15-3.38
Zr (0.7500, 0.7500, 0.4222)  6 Zr 3.15-3.34, 6 Bi 3.25-3.33
Zr (0.7500, 0.9212, 0.9195)  4 Bi 3.06-3.26, 8 Zr 3.15-3.38
Bi (0.2500, 0.5796, 0.5875)  9 Zr 3.06-3.33, 3 Bi 3.29-3.36
Bi (0.2500, 0.9204, 0.5875)  9 Zr 3.06-3.33, 3 Bi 3.29-3.36
Bi (0.7500, 0.0796, 0.4125)  9 Zr 3.06-3.33, 3 Bi 3.29-3.36
Bi (0.7500, 0.4204, 0.4125)  9 Zr 3.06-3.33, 3 Bi 3.29-3.36

---

Below is Na4SbPt2Pb after structural relaxation, with properties calculated at the PBE level.

magnetic moment: 0.01 μB per cell
raw total energy: -3.406 eV/atom

a = 4.8559 Å, b = 4.8559 Å, c = 6.8985 Å
α = 90.00°, β = 90.00°, γ = 90.00°
Closest atoms and distances in Å follow each position.
Element x y z (fractional)
Na (0.0000, 0.0000, 0.0000)  4 Na 2.99, 4 Pt 3.03
Na (0.0000, 0.5000, 0.7481)  4 Na 2.97-2.99, 2 Sb 2.97, 2 Pb 2.99
Na (0.5000, 0.0000, 0.2519)  4 Na 2.97-2.99, 2 Sb 2.97, 2 Pb 2.99
Na (0.5000, 0.5000, 0.5000)  4 Pt 2.93, 4 Na 2.97
Sb (0.0000, 0.0000, 0.5000)  4 Pt 2.93, 4 Na 2.97
Pt (0.0000, 0.5000, 0.2631)  4 Na 2.93-3.03, 2 Sb 2.93, 2 Pb 3.03
Pt (0.5000, 0.0000, 0.7369)  2 Sb 2.93, 4 Na 2.93-3.03, 2 Pb 3.03
Pb (0.5000, 0.5000, 0.0000)  4 Na 2.99, 4 Pt 3.03

---

Below is PrAlPO after structural relaxation, with properties calculated at the PBE level.

magnetic moment: 0.02 μB per cell
raw total energy: -5.641 eV/atom
distance to the lowest polymorph of the same formula: 0.745 eV per atom

a = 4.0911 Å, b = 4.0911 Å, c = 9.6567 Å
α = 90.00°, β = 90.00°, γ = 90.00°
Closest atoms and distances in Å follow each position.
Element x y z (fractional)
Pr (0.2500, 0.7500, 0.0000)  4 P 2.87, 4 Pr 2.89
Pr (0.7500, 0.2500, 0.0000)  4 P 2.87, 4 Pr 2.89
Al (0.2500, 0.2500, 0.4456)  4 O 2.11, 1 P 2.29
Al (0.7500, 0.7500, 0.5544)  4 O 2.11, 1 P 2.29
P (0.2500, 0.2500, 0.2085)  1 Al 2.29
P (0.7500, 0.7500, 0.7915)  1 Al 2.29
O (0.2500, 0.7500, 0.5000)  4 Al 2.11
O (0.7500, 0.2500, 0.5000)  4 Al 2.11

---

Below is CsNbTe after structural relaxation, with properties calculated at the PBE level.

magnetic moment: 4.00 μB per cell
raw total energy: -3.833 eV/atom

a = 5.5673 Å, b = 5.5673 Å, c = 5.5673 Å
α = 60.00°, β = 60.00°, γ = 60.00°
Closest atoms and distances in Å follow each position.
Element x y z (fractional)
Cs (0.0000, 0.0000, 0.0000)  4 Te 3.41
Nb (0.5000, 0.5000, 0.5000)  4 Te 3.41
Te (0.2500, 0.2500, 0.2500)  4 Nb 3.41, 4 Cs 3.41

---

Below is TmLuNp after structural relaxation, with properties calculated at the PBE level.

energy of formation: 3.4 eV per formula unit
magnetic moment: 5.66 μB per cell
raw total energy: -6.111 eV/atom
distance to the lowest polymorph of the same formula: 0.000 eV per atom

a = 5.2389 Å, b = 5.2389 Å, c = 5.2389 Å
α = 60.00°, β = 60.00°, γ = 60.00°
Closest atoms and distances in Å follow each position.
Element x y z (fractional)
Tm (0.0000, 0.0000, 0.0000)  4 Np 3.21, 4 Lu 3.21
Lu (0.7500, 0.7500, 0.7500)  4 Tm 3.21
Np (0.2500, 0.2500, 0.2500)  4 Tm 3.21

---

Below is NaLu2Tl after structural relaxation, with properties calculated at the PBE level.

magnetic moment: 0.00 μB per cell
raw total energy: -3.039 eV/atom

a = 5.3748 Å, b = 5.3748 Å, c = 5.3748 Å
α = 60.00°, β = 60.00°, γ = 60.00°
Closest atoms and distances in Å follow each position.
Element x y z (fractional)
Na (0.0000, 0.0000, 0.0000)  4 Tl 3.29, 4 Lu 3.29
Lu (0.2500, 0.2500, 0.2500)  4 Na 3.29, 4 Lu 3.29
Lu (0.5000, 0.5000, 0.5000)  4 Tl 3.29, 4 Lu 3.29
Tl (0.7500, 0.7500, 0.7500)  4 Na 3.29, 4 Lu 3.29

---

Below is KHfTe3Au after structural relaxation, with properties calculated at the PBE level.

magnetic moment: 0.02 μB per cell
raw total energy: -4.690 eV/atom

a = 11.5358 Å, b = 4.1612 Å, c = 15.6958 Å
α = 90.00°, β = 90.00°, γ = 90.00°
Closest atoms and distances in Å follow each position.
Element x y z (fractional)
K (0.2225, 0.2500, 0.0112)  7 Te 3.62-3.73, 2 Au 3.68
K (0.2775, 0.7500, 0.5112)  7 Te 3.62-3.73, 2 Au 3.68
K (0.7225, 0.2500, 0.4888)  7 Te 3.62-3.73, 2 Au 3.68
K (0.7775, 0.7500, 0.9888)  7 Te 3.62-3.73, 2 Au 3.68
Hf (0.0547, 0.7500, 0.7477)  5 Te 2.81-2.94, 2 Au 3.14
Hf (0.4453, 0.2500, 0.2477)  5 Te 2.81-2.94, 2 Au 3.14
Hf (0.5547, 0.7500, 0.7523)  5 Te 2.81-2.94, 2 Au 3.14
Hf (0.9453, 0.2500, 0.2523)  5 Te 2.81-2.94, 2 Au 3.14
Te (0.0270, 0.7500, 0.1342)  1 Au 2.80, 2 Hf 2.94
Te (0.0490, 0.2500, 0.6152)  1 Au 2.69, 2 Hf 2.94
Te (0.2243, 0.2500, 0.3224)  1 Hf 2.81, 2 Au 2.81
Te (0.2757, 0.7500, 0.8224)  1 Hf 2.81, 2 Au 2.81
Te (0.4510, 0.7500, 0.1152)  1 Au 2.69, 2 Hf 2.94
Te (0.4730, 0.2500, 0.6342)  1 Au 2.80, 2 Hf 2.94
Te (0.5270, 0.7500, 0.3658)  1 Au 2.80, 2 Hf 2.94
Te (0.5490, 0.2500, 0.8848)  1 Au 2.69, 2 Hf 2.94
Te (0.7243, 0.2500, 0.1776)  1 Hf 2.81, 2 Au 2.81
Te (0.7757, 0.7500, 0.6776)  1 Hf 2.81, 2 Au 2.81
Te (0.9510, 0.7500, 0.3848)  1 Au 2.69, 2 Hf 2.94
Te (0.9730, 0.2500, 0.8658)  1 Au 2.80, 2 Hf 2.94
Au (0.2496, 0.2500, 0.7033)  4 Te 2.69-2.81
Au (0.2504, 0.7500, 0.2033)  4 Te 2.69-2.81
Au (0.7496, 0.2500, 0.7967)  4 Te 2.69-2.81
Au (0.7504, 0.7500, 0.2967)  4 Te 2.69-2.81

---

Below is InFe2Ge after structural relaxation, with properties calculated at the PBE level.

magnetic moment: 14.40 μB per cell
raw total energy: -5.799 eV/atom

a = 6.1599 Å, b = 6.1599 Å, c = 6.1599 Å
α = 90.00°, β = 90.00°, γ = 90.00°
Closest atoms and distances in Å follow each position.
Element x y z (fractional)
In (0.0000, 0.0000, 0.0000)  8 Fe 2.95, 6 In 3.08
In (0.0000, 0.0000, 0.5000)  8 Fe 2.77, 4 Ge 3.08, 2 In 3.08
In (0.0000, 0.5000, 0.0000)  8 Fe 2.77, 4 Ge 3.08, 2 In 3.08
In (0.5000, 0.0000, 0.0000)  8 Fe 2.77, 4 Ge 3.08, 2 In 3.08
Fe (0.2766, 0.2766, 0.2766)  4 Ge 2.38-2.59
Fe (0.2766, 0.2766, 0.7234)  4 Ge 2.38-2.59
Fe (0.2766, 0.7234, 0.2766)  4 Ge 2.38-2.59
Fe (0.2766, 0.7234, 0.7234)  4 Ge 2.38-2.59
Fe (0.7234, 0.2766, 0.2766)  4 Ge 2.38-2.59
Fe (0.7234, 0.2766, 0.7234)  4 Ge 2.38-2.59
Fe (0.7234, 0.7234, 0.2766)  4 Ge 2.38-2.59
Fe (0.7234, 0.7234, 0.7234)  4 Ge 2.38-2.59
Ge (0.0000, 0.5000, 0.5000)  8 Fe 2.59
Ge (0.5000, 0.0000, 0.5000)  8 Fe 2.59
Ge (0.5000, 0.5000, 0.0000)  8 Fe 2.59
Ge (0.5000, 0.5000, 0.5000)  8 Fe 2.38

---

Below is NiAsPd after structural relaxation, with properties calculated at the PBE level.

magnetic moment: 0.02 μB per cell
raw total energy: -5.300 eV/atom

a = 3.9786 Å, b = 3.9786 Å, c = 6.8446 Å
α = 90.00°, β = 90.00°, γ = 120.00°
Closest atoms and distances in Å follow each position.
Element x y z (fractional)
Ni (0.0000, 0.0000, 0.0000)  3 As 2.39
Ni (0.0000, 0.0000, 0.5000)  3 As 2.39
As (0.3333, 0.6667, 0.0968)  3 Ni 2.39, 4 Pd 2.45-2.49
As (0.6667, 0.3333, 0.5968)  3 Ni 2.39, 4 Pd 2.45-2.49
Pd (0.3333, 0.6667, 0.7385)  4 As 2.45-2.49
Pd (0.6667, 0.3333, 0.2385)  4 As 2.45-2.49